# 1
Ag2RhAu2 | GGA-PBE | relaxed

Cell: 7.4840 7.4840 7.4840 Å, 150.95 150.95 41.54°
Element x y z (fractional)
Ag (0.0944, 0.0944, 0.0000)
Ag (0.9056, 0.9056, 0.0000)
Rh (0.5000, 0.5000, 0.0000)
Au (0.2500, 0.7500, 0.5000)
Au (0.7500, 0.2500, 0.5000)

## Properties
energy relative to the elements = 512 meV per atom
size of the total moment = 0.82 μB/f.u.

# 2
Ag2RhAu2 | GGA-PBE | relaxed

Cell: 6.9942 6.9942 3.8211 Å, 90.00 90.00 90.00°
Element x y z (fractional)
Ag (0.1660, 0.3340, 0.0000)
Ag (0.3340, 0.8340, 0.0000)
Ag (0.6660, 0.1660, 0.0000)
Ag (0.8340, 0.6660, 0.0000)
Rh (0.0000, 0.0000, 0.5000)
Rh (0.5000, 0.5000, 0.5000)
Au (0.1374, 0.6374, 0.5000)
Au (0.3626, 0.1374, 0.5000)
Au (0.6374, 0.8626, 0.5000)
Au (0.8626, 0.3626, 0.5000)

## Properties
energy relative to the elements = 317 meV per atom
size of the total moment = 0.00 μB/f.u.

# 3
AgRh2Au | GGA-PBE | relaxed

Cell: 4.5115 4.5115 4.5115 Å, 60.00 60.00 60.00°
Element x y z (fractional)
Ag (0.0000, 0.0000, 0.0000)
Rh (0.2500, 0.2500, 0.2500)
Rh (0.7500, 0.7500, 0.7500)
Au (0.5000, 0.5000, 0.5000)

## Properties
energy relative to the elements = 356 meV per atom
size of the total moment = 2.01 μB/f.u.

# 4
AgRh2Au | GGA-PBE | relaxed

Cell: 9.5086 9.5086 9.5086 Å, 17.03 17.03 17.03°
Element x y z (fractional)
Ag (0.0000, 0.0000, 0.0000)
Rh (0.2499, 0.2499, 0.2499)
Rh (0.7501, 0.7501, 0.7501)
Au (0.5000, 0.5000, 0.5000)

## Properties
energy relative to the elements = 243 meV per atom
size of the total moment = 1.92 μB/f.u.

Looking at relative energy among the computed polymorphs for the records above, in order, we have 195.0; 0.0; 248.1; 135.0 meV per atom.